The following is a DFT calculation (PBE) of a relaxed structure of NdTm2Be.

Cell lengths 3.423, 3.423, 8.758 Å; angles 90.00, 90.00, 90.00 degrees
Fractional coordinates of all 4 atoms:
Tm: 0.000 0.000 0.813
Tm: 0.000 0.000 0.187
Be: 0.500 0.500 0.000
Nd: 0.500 0.500 0.500

Summary:
Calculated formation energy   0.05 eV per atom
Energy   -17.2 eV/cell
Space-group type   P4/mmm

The following is a DFT calculation (PBE) of a relaxed structure of Na3In4Au4.

Cell lengths 4.383, 8.077, 8.843 Å; angles 117.17, 104.35, 90.00 degrees
Fractional coordinates of all 11 atoms:
In: 0.670 0.873 0.341
Na: 0.000 0.500 0.000
Au: 0.500 0.819 0.000
Na: 0.885 0.885 0.769
Au: 0.500 0.181 0.000
Au: 0.220 0.720 0.440
In: 0.330 0.532 0.659
In: 0.670 0.468 0.341
Au: 0.780 0.280 0.560
In: 0.330 0.127 0.659
Na: 0.115 0.115 0.231

Summary:
Calculated formation energy   -0.31 eV per atom
Energy   -31.4 eV/cell
Space-group type   Immm

The following is a DFT calculation (PBE) of a relaxed structure of Hg4Bi.

Cell lengths 6.092, 6.092, 6.092 Å; angles 90.00, 90.00, 90.00 degrees
Fractional coordinates of all 5 atoms:
Hg: 0.500 0.000 0.500
Hg: 0.500 0.500 0.000
Hg: 0.000 0.500 0.500
Hg: 0.000 0.000 0.000
Bi: 0.500 0.500 0.500

Summary:
Calculated formation energy   0.09 eV per atom
Energy   -4.6 eV/cell
Space-group type   Pm-3m

The following is a DFT calculation (PBE) of a relaxed structure of In2Ga2Au.

Cell lengths 7.348, 7.348, 4.309 Å; angles 90.00, 90.00, 90.00 degrees
Fractional coordinates of all 10 atoms:
In: 0.349 0.849 0.000
Ga: 0.153 0.653 0.500
Au: 0.500 0.500 0.000
Ga: 0.847 0.347 0.500
Ga: 0.347 0.153 0.500
Ga: 0.653 0.847 0.500
In: 0.151 0.349 0.000
In: 0.651 0.151 0.000
In: 0.849 0.651 0.000
Au: 0.000 0.000 0.000

Summary:
Calculated formation energy   0.06 eV per atom
Energy   -29.0 eV/cell
Space-group type   P4/mbm

The following is a DFT calculation (PBE) of a relaxed structure of Ho2BeSi3.

Cell lengths 4.003, 3.937, 6.742 Å; angles 90.00, 90.00, 90.00 degrees
Fractional coordinates of all 6 atoms:
Si: 0.500 0.000 0.836
Ho: 0.000 0.500 0.001
Be: 0.500 0.500 0.328
Ho: 0.000 0.000 0.501
Si: 0.500 0.000 0.182
Si: 0.500 0.500 0.652

Summary:
Energy   -33.1 eV/cell
Space-group type   Pmm2

The following is a DFT calculation (PBE) of a relaxed structure of LaPr2Nd4Mg.

Cell lengths 5.945, 9.747, 5.934 Å; angles 52.42, 90.00, 90.00 degrees
Fractional coordinates of all 8 atoms:
Pr: 0.000 0.000 0.000
Nd: 0.500 0.268 0.732
Mg: 0.000 0.500 0.500
Nd: 0.000 0.268 0.232
Nd: 0.500 0.732 0.268
Pr: 0.500 0.000 0.500
La: 0.500 0.500 0.000
Nd: 0.000 0.732 0.768

Summary:
Calculated formation energy   0.08 eV per atom
Energy   -34.5 eV/cell
Space-group type   P2/m

The following is a DFT calculation (PBE) of a relaxed structure of TaPAu2.

Cell lengths 4.600, 2.932, 5.258 Å; angles 75.07, 90.00, 90.00 degrees
Fractional coordinates of all 4 atoms:
P: 0.500 0.500 0.000
Ta: 0.500 0.500 0.500
Au: 0.000 0.850 0.760
Au: 0.000 0.150 0.240

Summary:
Calculated formation energy   0.12 eV per atom
Energy   -23.3 eV/cell
Space-group type   P2/m

The following is a DFT calculation (PBE) of a relaxed structure of CaLaAlOs2.

Cell lengths 4.712, 5.214, 4.712 Å; angles 90.00, 90.00, 90.00 degrees
Fractional coordinates of all 5 atoms:
La: 0.000 0.500 0.000
Al: 0.000 0.000 0.000
Ca: 0.500 0.500 0.500
Os: 0.000 0.000 0.500
Os: 0.500 0.000 0.000

Summary:
Calculated formation energy   0.84 eV per atom
Energy   -28.9 eV/cell
Space-group type   P4/mmm

The following is a DFT calculation (PBE) of a relaxed structure of AcCu2.

Cell lengths 3.571, 3.571, 5.701 Å; angles 108.25, 108.25, 90.00 degrees
Fractional coordinates of all 3 atoms:
Ac: 0.000 0.000 0.000
Cu: 0.703 0.703 0.406
Cu: 0.297 0.297 0.594

Summary:
Calculated formation energy   0.04 eV per atom
Energy   -12.2 eV/cell
Space-group type   I4/mmm

The following is a DFT calculation (PBE) of a relaxed structure of Ca2MgPtO.

Cell lengths 4.741, 4.741, 4.187 Å; angles 90.00, 90.00, 90.00 degrees
Fractional coordinates of all 5 atoms:
O: 0.000 0.000 0.000
Pt: 0.500 0.500 0.500
Ca: 0.000 0.500 0.000
Ca: 0.500 0.000 0.000
Mg: 0.000 0.000 0.500

Summary:
Energy   -23.8 eV/cell
Space-group type   P4/mmm

The following is a DFT calculation (PBE) of a relaxed structure of AcSmEr3.

Cell lengths 3.617, 7.120, 13.457 Å; angles 90.00, 97.72, 90.00 degrees
Fractional coordinates of all 10 atoms:
Er: 0.324 0.158 0.648
Er: 0.907 0.418 0.815
Ac: 0.703 0.157 0.407
Er: 0.093 0.918 0.185
Er: 0.503 0.660 0.006
Sm: 0.092 0.400 0.185
Ac: 0.297 0.657 0.593
Sm: 0.908 0.900 0.815
Er: 0.676 0.658 0.352
Er: 0.497 0.160 0.994

Summary:
Calculated formation energy   0.10 eV per atom
Energy   -44.0 eV/cell
Space-group type   Cmc2_1

The following is a DFT calculation (PBE) of a relaxed structure of Pm6ZnNi.

Cell lengths 5.107, 5.107, 9.493 Å; angles 74.39, 74.43, 90.00 degrees
Fractional coordinates of all 8 atoms:
Pm: 0.098 0.598 0.803
Pm: 0.402 0.901 0.197
Ni: 0.000 0.000 0.000
Pm: 0.902 0.402 0.197
Zn: 0.500 0.500 0.000
Pm: 0.252 0.252 0.496
Pm: 0.748 0.748 0.504
Pm: 0.598 0.099 0.803

Summary:
Calculated formation energy   -0.10 eV per atom
Energy   -36.4 eV/cell
Space-group type   I4/mmm